No. 1
Here is a relaxed Ba3PuTl2O9 crystal from Alexandria via LeMat-Bulk. Energies are from PBE.

Output
As for the crystal system: trigonal. Its total energy is -6.675 eV/atom. The mass density comes out at 7.9 g/cm³.

Lattice parameters (Å, degrees): 6.200 6.200 7.596 90.00 90.00 120.00
Fractional positions:
O  0.156  0.844  0.342
O  0.844  0.687  0.658
O  0.844  0.156  0.658
O  0.313  0.156  0.658
O  0.156  0.313  0.342
O  0.500  0.500  0.000
O  0.000  0.500  0.000
O  0.500  0.000  0.000
O  0.687  0.844  0.342
Tl  0.667  0.333  0.830
Tl  0.333  0.667  0.170
Ba  0.667  0.333  0.298
Ba  0.333  0.667  0.702
Ba  0.000  0.000  0.000
Pu  0.000  0.000  0.500

***

No. 2
Here is a relaxed PmSi3Ru crystal from Alexandria via LeMat-Bulk. Energies are from PBE.

Output
As for the crystal system: tetragonal. As for the energy relative to the lowest polymorph listed for this composition: 0 meV/atom. The mass density comes out at 6.2 g/cm³.

Lattice parameters (Å, degrees): 4.216 4.216 5.792 111.34 111.34 90.00
Fractional positions:
Pm  0.997  0.997  0.995
Ru  0.654  0.654  0.308
Si  0.418  0.418  0.836
Si  0.260  0.760  0.521
Si  0.760  0.260  0.521

***

No. 3
Here is a relaxed Dy6Er2Tm3Zr crystal from Alexandria via LeMat-Bulk. Energies are from PBE.

Output
As for the crystal system: monoclinic. The value obtained for the formation energy from the elements is 0.995 kcal/mol of atoms. The mass density comes out at 8.8 g/cm³.

Lattice parameters (Å, degrees): 6.039 6.039 11.548 94.97 94.97 119.91
Fractional positions:
Zr  0.000  0.000  0.000
Er  0.333  0.667  0.000
Er  0.667  0.333  0.000
Tm  0.833  0.167  0.500
Tm  0.167  0.833  0.500
Tm  0.500  0.500  0.500
Dy  0.591  0.918  0.754
Dy  0.918  0.591  0.754
Dy  0.245  0.245  0.755
Dy  0.755  0.755  0.245
Dy  0.409  0.082  0.246
Dy  0.082  0.409  0.246

***

No. 4
Here is a relaxed CeBi2As crystal from Alexandria via LeMat-Bulk. Energies are from PBE.

Output
As for the crystal system: tetragonal. The value obtained for the formation energy from the elements is -11.320 kcal/mol of atoms. The mass density comes out at 9.7 g/cm³.

Lattice parameters (Å, degrees): 5.175 4.582 4.582 90.00 90.00 90.00
Fractional positions:
Bi  0.000  0.500  0.000
Bi  0.000  0.000  0.500
As  0.500  0.500  0.500
Ce  0.500  0.000  0.000

***

No. 5
Here is a relaxed La6Pm2DyEr crystal from Alexandria via LeMat-Bulk. Energies are from PBE.

Output
As for the crystal system: monoclinic. The value obtained for the formation energy from the elements is 2.622 kcal/mol of atoms. The mass density comes out at 6.9 g/cm³.

Lattice parameters (Å, degrees): 9.288 9.120 9.120 114.34 90.55 90.55
Fractional positions:
La  0.903  0.283  0.568
La  0.090  0.076  0.776
La  0.097  0.717  0.432
La  0.410  0.224  0.924
La  0.590  0.776  0.076
La  0.319  0.027  0.464
La  0.819  0.464  0.027
La  0.181  0.536  0.973
La  0.681  0.973  0.536
La  0.403  0.568  0.283
La  0.910  0.924  0.224
La  0.597  0.432  0.717
Pm  0.063  0.294  0.205
Pm  0.937  0.706  0.795
Pm  0.563  0.205  0.294
Pm  0.437  0.795  0.706
Dy  0.250  0.935  0.065
Dy  0.750  0.065  0.935
Er  0.750  0.571  0.429
Er  0.250  0.429  0.571

***

No. 6
Here is a relaxed TbPrC crystal from Alexandria via LeMat-Bulk. Energies are from PBE.

Output
As for the crystal system: trigonal. As for the energy relative to the lowest polymorph listed for this composition: 0 meV/atom. The value obtained for the formation energy from the elements is -3.366 kcal/mol of atoms. The mass density comes out at 6.9 g/cm³.

Lattice parameters (Å, degrees): 6.571 3.640 3.640 120.00 90.00 90.00
Fractional positions:
Pr  0.781  0.667  0.333
Tb  0.206  0.333  0.667
C  0.012  0.000  0.000

***

No. 7
Here is a relaxed In5HgRh6 crystal from Alexandria via LeMat-Bulk. Energies are from PBE.

Output
As for the crystal system: orthorhombic. The value obtained for the formation energy from the elements is -8.004 kcal/mol of atoms. The mass density comes out at 11.3 g/cm³.

Lattice parameters (Å, degrees): 4.572 6.505 7.226 90.00 71.56 90.00
Fractional positions:
Rh  0.830  0.748  0.339
Rh  0.170  0.252  0.661
Rh  0.500  0.258  0.000
Rh  0.500  0.742  0.000
Rh  0.830  0.252  0.339
Rh  0.170  0.748  0.661
In  0.667  0.500  0.667
In  0.333  0.500  0.333
In  0.664  0.000  0.671
In  0.336  0.000  0.329
In  0.000  0.500  0.000
Hg  0.000  0.000  0.000

***

No. 8
Here is a relaxed CdAs3 crystal from Alexandria via LeMat-Bulk. Energies are from PBE.

Output
As for the crystal system: cubic. As for the energy relative to the lowest polymorph listed for this composition: 389 meV/atom. The value obtained for the formation energy from the elements is 8.342 kcal/mol of atoms. The mass density comes out at 6.9 g/cm³.

Lattice parameters (Å, degrees): 4.865 4.865 4.865 60.00 60.00 60.00
Fractional positions:
As  0.250  0.250  0.250
As  0.500  0.500  0.500
As  0.000  0.000  0.000
Cd  0.750  0.750  0.750

***

Among the records above, which one has the lowest mass density? PmSi3Ru

***

Look up the mass density of the seventh one. 11.3 g/cm³

***

Which value of mass density does entry 1 give? 7.9 g/cm³